In2CuI3 | Alexandria | PBE-GGA | optimized geometry; raw formation energy = -33 kJ/mol of atoms; calculated total energy = -2.71 eV per atom; DOS at the Fermi energy = 0.0 states/eV per cell
1.0
4.557 0.000 0.000
0.000 9.958 0.000
0.000 0.000 19.326
Cu I In
4 12 8
direct
0.750 0.652 0.361 Cu
0.250 0.848 0.861 Cu
0.250 0.348 0.639 Cu
0.750 0.152 0.139 Cu
0.250 0.323 0.774 I
0.750 0.376 0.068 I
0.250 0.019 0.104 I
0.750 0.677 0.226 I
0.750 0.177 0.274 I
0.750 0.876 0.432 I
0.250 0.519 0.396 I
0.250 0.823 0.726 I
0.250 0.124 0.568 I
0.750 0.481 0.604 I
0.750 0.981 0.896 I
0.250 0.624 0.932 I
0.250 0.733 0.537 In
0.750 0.267 0.463 In
0.250 0.907 0.289 In
0.750 0.093 0.711 In
0.750 0.767 0.037 In
0.250 0.233 0.963 In
0.250 0.407 0.211 In
0.750 0.593 0.789 In



In2Cu2I | Alexandria | PBE-GGA | optimized geometry; raw formation energy = 26 kJ/mol of atoms; calculated total energy = -2.77 eV per atom; DOS at the Fermi energy = 3.8 states/eV per cell
1.0
8.541 0.000 0.000
0.000 8.541 0.000
0.000 0.000 3.148
In Cu I
4 4 2
direct
0.187 0.313 0.000 In
0.687 0.187 0.000 In
0.813 0.687 0.000 In
0.313 0.813 0.000 In
0.898 0.398 0.500 Cu
0.398 0.102 0.500 Cu
0.102 0.602 0.500 Cu
0.602 0.898 0.500 Cu
0.500 0.500 0.000 I
0.000 0.000 0.000 I



KIn2CuI | Alexandria | PBE-GGA | optimized geometry; raw formation energy = 45 kJ/mol of atoms; calculated total energy = -1.97 eV per atom; DOS at the Fermi energy = 3.6 states/eV per cell
1.0
6.415 0.000 0.000
0.000 6.445 0.000
0.000 0.000 6.415
In K Cu I
2 1 1 1
direct
0.500 0.000 0.000 In
0.000 0.000 0.500 In
0.000 0.500 0.000 K
0.500 0.500 0.500 Cu
0.000 0.000 0.000 I



InCuIN2 | Alexandria | PBE-GGA | optimized geometry; raw formation energy = 143 kJ/mol of atoms; calculated total energy = -3.53 eV per atom; DOS at the Fermi energy = 2.7 states/eV per cell
1.0
-3.820 0.508 -1.526
-0.365 -4.104 -0.455
-2.528 -0.460 6.175
N Cu In I
2 1 1 1
direct
0.000 0.500 0.000 N
0.500 0.000 0.000 N
0.500 0.500 0.500 Cu
0.000 0.000 0.000 In
0.000 0.000 0.500 I



InCuIN2 | Alexandria | PBE-GGA | optimized geometry; raw formation energy = 149 kJ/mol of atoms; calculated total energy = -3.47 eV per atom; DOS at the Fermi energy = 2.9 states/eV per cell
1.0
4.107 0.000 0.000
0.000 4.107 0.000
0.000 0.000 5.339
N I Cu In
2 1 1 1
direct
0.000 0.500 0.000 N
0.500 0.000 0.000 N
0.000 0.000 0.500 I
0.000 0.000 0.000 Cu
0.500 0.500 0.500 In



In2CuIO8 | Alexandria | PBE-GGA | optimized geometry; raw formation energy = -73 kJ/mol of atoms; calculated total energy = -4.99 eV per atom; DOS at the Fermi energy = 0.9 states/eV per cell
1.0
4.826 -0.208 -0.157
-0.196 4.743 0.183
-0.202 0.259 6.529
Cu O I In
1 8 1 2
direct
0.000 0.000 0.500 Cu
0.689 0.735 0.496 O
0.672 0.743 0.995 O
0.865 0.172 0.240 O
0.328 0.257 0.005 O
0.164 0.755 0.196 O
0.836 0.245 0.804 O
0.311 0.265 0.504 O
0.135 0.828 0.760 O
0.000 0.000 0.000 I
0.526 0.481 0.258 In
0.474 0.519 0.742 In



PaInCuI6 | Alexandria | PBE-GGA | optimized geometry; raw formation energy = -57 kJ/mol of atoms; calculated total energy = -3.44 eV per atom; DOS at the Fermi energy = 16.0 states/eV per cell
1.0
-1.481 -6.291 4.023
1.613 -0.520 -7.422
15.048 -1.388 3.368
I Cu In Pa
12 2 2 2
direct
0.633 0.646 0.139 I
0.367 0.354 0.861 I
0.633 0.986 0.361 I
0.014 0.367 0.139 I
0.986 0.354 0.639 I
0.354 0.367 0.361 I
0.367 0.014 0.639 I
0.014 0.646 0.361 I
0.354 0.986 0.139 I
0.986 0.633 0.861 I
0.646 0.014 0.861 I
0.646 0.633 0.639 I
0.667 0.333 0.750 Cu
0.333 0.667 0.250 Cu
0.000 0.000 0.000 In
0.000 0.000 0.500 In
0.333 0.667 0.750 Pa
0.667 0.333 0.250 Pa



RbIn2CuI8 | Alexandria | PBE-GGA | optimized geometry; raw formation energy = -56 kJ/mol of atoms; calculated total energy = -2.49 eV per atom
1.0
7.622 0.000 0.000
-3.811 6.601 0.000
0.000 0.000 10.568
I Cu Rb In
8 1 1 2
direct
0.698 0.698 0.664 I
0.667 0.333 0.998 I
0.000 0.302 0.664 I
0.302 0.302 0.336 I
0.302 0.000 0.664 I
0.000 0.698 0.336 I
0.333 0.667 0.002 I
0.698 0.000 0.336 I
0.000 0.000 0.500 Cu
0.000 0.000 0.000 Rb
0.667 0.333 0.260 In
0.333 0.667 0.740 In



InCu2RuI | Alexandria | PBE-GGA | optimized geometry; raw formation energy = 82 kJ/mol of atoms; calculated total energy = -3.51 eV per atom; DOS at the Fermi energy = 4.8 states/eV per cell
1.0
-1.045 4.669 -0.723
-0.975 0.573 5.111
4.638 1.155 0.755
Cu Ru I In
2 1 1 1
direct
0.500 0.000 0.000 Cu
0.000 0.000 0.500 Cu
0.000 0.000 0.000 Ru
0.500 0.500 0.500 I
0.000 0.500 0.000 In



InCuSb2I | Alexandria | PBE-GGA | optimized geometry; raw formation energy = 93 kJ/mol of atoms; calculated total energy = -2.36 eV per atom; DOS at the Fermi energy = 5.6 states/eV per cell
1.0
-4.512 1.774 -2.915
-2.431 -5.063 0.681
-2.511 1.882 5.031
In Cu Sb I
1 1 2 1
direct
0.000 0.000 0.000 In
0.500 0.500 0.500 Cu
0.000 0.500 0.000 Sb
0.500 0.000 0.000 Sb
0.000 0.000 0.500 I



InCuSb2I | Alexandria | PBE-GGA | optimized geometry; raw formation energy = 32 kJ/mol of atoms; calculated total energy = -2.99 eV per atom; DOS at the Fermi energy = 5.9 states/eV per cell
1.0
-4.109 2.926 0.197
-2.724 -4.082 3.816
1.925 2.436 3.980
I Sb Cu In
1 2 1 1
direct
0.000 0.500 0.000 I
0.500 0.000 0.000 Sb
0.000 0.000 0.500 Sb
0.000 0.000 0.000 Cu
0.500 0.500 0.500 In



ScIn2CuI | Alexandria | PBE-GGA | optimized geometry; raw formation energy = 0 kJ/mol of atoms; calculated total energy = -3.49 eV per atom; DOS at the Fermi energy = 3.9 states/eV per cell
1.0
-4.474 -0.335 2.128
-1.280 -4.118 -3.339
1.812 -3.239 3.299
In Cu Sc I
2 1 1 1
direct
0.000 0.000 0.500 In
0.500 0.000 0.000 In
0.000 0.000 0.000 Cu
0.000 0.500 0.000 Sc
0.500 0.500 0.500 I



Which of these has the highest calculated total energy? KIn2CuI



Among the records above, which one has the lowest raw formation energy? In2CuIO8



The highest calculated total energy belongs to which entry? KIn2CuI